# 1
# MgZnCoRh (PBE, relaxed)
data_MgZnCoRh
_chemical_formula_sum 'Mg4 Zn4 Co4 Rh4'
_cell_length_a 6.0398
_cell_length_b 6.0398
_cell_length_c 6.0398
_cell_angle_alpha 90.00
_cell_angle_beta 90.00
_cell_angle_gamma 90.00
_symmetry_space_group_name_H-M 'F -4 3 m'
_symmetry_Int_Tables_number 216
_symmetry_space_group_name_Hall 'F -4 2 3'
loop_
_atom_site_label
_atom_site_type_symbol
_atom_site_fract_x
_atom_site_fract_y
_atom_site_fract_z
Mg1 Mg 0.0000 0.0000 0.0000
Zn1 Zn 0.0000 0.0000 0.5000
Co1 Co 0.2500 0.2500 0.2500
Rh1 Rh 0.2500 0.2500 0.7500
# Energy relative to the elements in meV per atom: -150
# Volume in Å³/atom: 13.77

***

# 2
# Mg2TcN4 (PBE, relaxed)
data_Mg2TcN4
_chemical_formula_sum 'Mg8 Tc4 N16'
_cell_length_a 6.5839
_cell_length_b 7.9069
_cell_length_c 8.4102
_cell_angle_alpha 90.00
_cell_angle_beta 90.00
_cell_angle_gamma 90.00
_symmetry_space_group_name_H-M 'A m a 2'
_symmetry_Int_Tables_number 40
loop_
_symmetry_equiv_pos_as_xyz
'x,y,z'
'-x,-y,z'
'-x+1/2,y,z'
'x+1/2,-y,z'
'x,y+1/2,z+1/2'
'-x,-y+1/2,z+1/2'
'-x+1/2,y+1/2,z+1/2'
'x+1/2,-y+1/2,z+1/2'
loop_
_atom_site_label
_atom_site_type_symbol
_atom_site_fract_x
_atom_site_fract_y
_atom_site_fract_z
Mg1 Mg 0.0000 0.0000 0.0000
Mg2 Mg 0.2500 0.1548 0.6668
Tc1 Tc 0.2500 0.2495 0.2656
N1 N 0.0203 0.2054 0.1543
N2 N 0.2500 0.1004 0.4241
N3 N 0.2500 0.4695 0.3476
# Volume in Å³/atom: 15.64
# Energy in eV/atom: -6.7961

***

# 3
# Na7Tl5Sn (PBE, relaxed)
data_Na7Tl5Sn
_chemical_formula_sum 'Na14 Tl10 Sn2'
_cell_length_a 11.1653
_cell_length_b 13.6174
_cell_length_c 6.1161
_cell_angle_alpha 90.00
_cell_angle_beta 120.44
_cell_angle_gamma 90.00
_symmetry_space_group_name_H-M 'C 1 m 1'
_symmetry_Int_Tables_number 8
loop_
_symmetry_equiv_pos_as_xyz
'x,y,z'
'x,-y,z'
'x+1/2,y+1/2,z'
'x+1/2,-y+1/2,z'
loop_
_atom_site_label
_atom_site_type_symbol
_atom_site_fract_x
_atom_site_fract_y
_atom_site_fract_z
Na1 Na 0.0000 0.0000 0.0000
Na2 Na 0.0218 0.5000 0.9328
Na3 Na 0.1744 0.1191 0.6325
Na4 Na 0.2380 0.3118 0.9908
Na5 Na 0.3476 0.0000 0.2862
Tl1 Tl 0.0390 0.3056 0.2715
Tl2 Tl 0.3742 0.5000 0.3768
Tl3 Tl 0.3959 0.2755 0.6327
Sn1 Sn 0.1798 0.5000 0.5939
# Energy relative to the elements in meV per atom: -67
# Volume in Å³/atom: 30.84

***

# 4
# Ca2AlP3Pt7 (PBE, relaxed)
data_Ca2AlP3Pt7
_chemical_formula_sum 'Ca4 Al2 P6 Pt14'
_cell_length_a 4.0361
_cell_length_b 4.0361
_cell_length_c 27.1536
_cell_angle_alpha 90.00
_cell_angle_beta 90.00
_cell_angle_gamma 90.00
_symmetry_space_group_name_H-M 'I -4 m 2'
_symmetry_Int_Tables_number 119
_symmetry_space_group_name_Hall 'I -4 -2'
loop_
_atom_site_label
_atom_site_type_symbol
_atom_site_fract_x
_atom_site_fract_y
_atom_site_fract_z
Ca1 Ca 0.0000 0.0000 0.1662
Al1 Al 0.0000 0.0000 0.0000
P1 P 0.0000 0.0000 0.3778
P2 P 0.0000 0.5000 0.2500
Pt1 Pt 0.0000 0.0000 0.2932
Pt2 Pt 0.0000 0.0000 0.5000
Pt3 Pt 0.0000 0.5000 0.0713
Pt4 Pt 0.0000 0.5000 0.5734
# Energy relative to the elements in meV per atom: -926
# Volume in Å³/atom: 17.01

***

# 5
# TaCoAg2 (PBE, relaxed)
data_TaCoAg2
_chemical_formula_sum 'Ta2 Co2 Ag4'
_cell_length_a 5.2808
_cell_length_b 8.8385
_cell_length_c 2.7677
_cell_angle_alpha 90.00
_cell_angle_beta 90.00
_cell_angle_gamma 90.00
_symmetry_space_group_name_H-M 'C m m m'
_symmetry_Int_Tables_number 65
_symmetry_space_group_name_Hall '-C 2 2'
loop_
_atom_site_label
_atom_site_type_symbol
_atom_site_fract_x
_atom_site_fract_y
_atom_site_fract_z
Ta1 Ta 0.0000 0.0000 0.0000
Co1 Co 0.0000 0.5000 0.0000
Ag1 Ag 0.2500 0.2500 0.5000
# Energy relative to the elements in meV per atom: 492
# Volume in Å³/atom: 16.15
# Energy above the most stable polymorph in this dataset in kJ/mol of formula units: 130

***

# 6
# ZrCo2Tc (PBE, relaxed)
data_ZrCo2Tc
_chemical_formula_sum 'Zr1 Co2 Tc1'
_cell_length_a 2.7745
_cell_length_b 3.6635
_cell_length_c 5.5549
_cell_angle_alpha 90.00
_cell_angle_beta 90.29
_cell_angle_gamma 90.00
_symmetry_space_group_name_H-M 'P 1 2/m 1'
_symmetry_Int_Tables_number 10
loop_
_symmetry_equiv_pos_as_xyz
'x,y,z'
'-x,-y,-z'
'-x,y,-z'
'x,-y,z'
loop_
_atom_site_label
_atom_site_type_symbol
_atom_site_fract_x
_atom_site_fract_y
_atom_site_fract_z
Zr1 Zr 0.0000 0.0000 0.0000
Co1 Co 0.4994 0.5000 0.7201
Tc1 Tc 0.0000 0.0000 0.5000
# Energy relative to the elements in meV per atom: -18
# Volume in Å³/atom: 14.12
# Energy above the most stable polymorph in this dataset in kJ/mol of formula units: 4

***

# 7
# PmAgI6 (PBE, relaxed)
data_PmAgI6
_chemical_formula_sum 'Pm1 Ag1 I6'
_cell_length_a 7.0887
_cell_length_b 7.9989
_cell_length_c 8.1513
_cell_angle_alpha 80.81
_cell_angle_beta 69.76
_cell_angle_gamma 84.10
_symmetry_space_group_name_H-M 'P -1'
_symmetry_Int_Tables_number 2
loop_
_symmetry_equiv_pos_as_xyz
'x,y,z'
'-x,-y,-z'
loop_
_atom_site_label
_atom_site_type_symbol
_atom_site_fract_x
_atom_site_fract_y
_atom_site_fract_z
Pm1 Pm 0.0000 0.0000 0.0000
Ag1 Ag 0.5000 0.5000 0.0000
I1 I 0.0559 0.1193 0.5925
I2 I 0.2064 0.3344 0.8351
I3 I 0.4191 0.8137 0.8537
# Volume in Å³/atom: 53.44
# Energy in eV/atom: -2.7755

***

# 8
# NaPr4Sn4 (PBE, relaxed)
data_NaPr4Sn4
_chemical_formula_sum 'Na2 Pr8 Sn8'
_cell_length_a 9.2756
_cell_length_b 9.2756
_cell_length_c 6.5776
_cell_angle_alpha 90.00
_cell_angle_beta 90.00
_cell_angle_gamma 90.00
_symmetry_space_group_name_H-M 'P 42/n'
_symmetry_Int_Tables_number 86
loop_
_symmetry_equiv_pos_as_xyz
'x,y,z'
'-x,-y,-z'
'-y,x+1/2,z+1/2'
'y,-x+1/2,-z+1/2'
'-x+1/2,-y+1/2,z'
'x+1/2,y+1/2,-z'
'y+1/2,-x,z+1/2'
'-y+1/2,x,-z+1/2'
loop_
_atom_site_label
_atom_site_type_symbol
_atom_site_fract_x
_atom_site_fract_y
_atom_site_fract_z
Na1 Na 0.2500 0.2500 0.2500
Pr1 Pr 0.0273 0.6722 0.1022
Sn1 Sn 0.0122 0.6477 0.5901
# Energy relative to the elements in meV per atom: -457
# Volume in Å³/atom: 31.44

***

# 9
# K2Na2IO6 (PBE, relaxed)
data_K2Na2IO6
_chemical_formula_sum 'K4 Na4 I2 O12'
_cell_length_a 6.1099
_cell_length_b 9.8559
_cell_length_c 6.5070
_cell_angle_alpha 90.00
_cell_angle_beta 111.50
_cell_angle_gamma 90.00
_symmetry_space_group_name_H-M 'C 1 2/m 1'
_symmetry_Int_Tables_number 12
loop_
_symmetry_equiv_pos_as_xyz
'x,y,z'
'-x,-y,-z'
'-x,y,-z'
'x,-y,z'
'x+1/2,y+1/2,z'
'-x+1/2,-y+1/2,-z'
'-x+1/2,y+1/2,-z'
'x+1/2,-y+1/2,z'
loop_
_atom_site_label
_atom_site_type_symbol
_atom_site_fract_x
_atom_site_fract_y
_atom_site_fract_z
K1 K 0.0000 0.1849 0.0000
Na1 Na 0.0000 0.3431 0.5000
I1 I 0.0000 0.0000 0.5000
O1 O 0.1909 0.0000 0.3253
O2 O 0.1956 0.1381 0.6829
# Volume in Å³/atom: 16.57
# Energy in eV/atom: -4.4045

***

# 10
# TbY12Ho5 (PBE, relaxed)
data_TbY12Ho5
_chemical_formula_sum 'Tb2 Y24 Ho10'
_cell_length_a 15.0831
_cell_length_b 15.1151
_cell_length_c 5.0276
_cell_angle_alpha 90.00
_cell_angle_beta 90.00
_cell_angle_gamma 90.00
_symmetry_space_group_name_H-M 'C m m m'
_symmetry_Int_Tables_number 65
_symmetry_space_group_name_Hall '-C 2 2'
loop_
_atom_site_label
_atom_site_type_symbol
_atom_site_fract_x
_atom_site_fract_y
_atom_site_fract_z
Tb1 Tb 0.0000 0.0000 0.0000
Y1 Y 0.1655 0.3335 0.5000
Y2 Y 0.1655 0.5000 0.0000
Y3 Y 0.1658 0.0000 0.5000
Y4 Y 0.1657 0.1668 0.0000
Ho1 Ho 0.0000 0.1668 0.5000
Ho2 Ho 0.0000 0.3333 0.0000
Ho3 Ho 0.0000 0.5000 0.5000
# Energy relative to the elements in meV per atom: 24
# Volume in Å³/atom: 31.84

***

# 11
# CrInFe2 (PBE, relaxed)
data_CrInFe2
_chemical_formula_sum 'Cr2 In2 Fe4'
_cell_length_a 3.7909
_cell_length_b 3.9014
_cell_length_c 7.6529
_cell_angle_alpha 90.00
_cell_angle_beta 90.00
_cell_angle_gamma 90.00
_symmetry_space_group_name_H-M 'I m m m'
_symmetry_Int_Tables_number 71
_symmetry_space_group_name_Hall '-I 2 2'
loop_
_atom_site_label
_atom_site_type_symbol
_atom_site_fract_x
_atom_site_fract_y
_atom_site_fract_z
Cr1 Cr 0.0000 0.0000 0.0000
In1 In 0.0000 0.0000 0.5000
Fe1 Fe 0.0000 0.5000 0.2519
# Energy relative to the elements in meV per atom: 307
# Volume in Å³/atom: 14.15

***

# 12
# Rb2MoCl (PBE, relaxed)
data_Rb2MoCl
_chemical_formula_sum 'Rb8 Mo4 Cl4'
_cell_length_a 12.9199
_cell_length_b 12.9199
_cell_length_c 5.0646
_cell_angle_alpha 90.00
_cell_angle_beta 90.00
_cell_angle_gamma 90.00
_symmetry_space_group_name_H-M 'I -4 2 d'
_symmetry_Int_Tables_number 122
_symmetry_space_group_name_Hall 'I -4 2bw'
loop_
_atom_site_label
_atom_site_type_symbol
_atom_site_fract_x
_atom_site_fract_y
_atom_site_fract_z
Rb1 Rb 0.0806 0.2500 0.1250
Mo1 Mo 0.0000 0.0000 0.5000
Cl1 Cl 0.0000 0.0000 0.0000
# Volume in Å³/atom: 52.84
# Energy above the most stable polymorph in this dataset in kJ/mol of formula units: 0

***

# 13
# CsIn3Ge (PBE, relaxed)
data_CsIn3Ge
_chemical_formula_sum 'Cs1 In3 Ge1'
_cell_length_a 5.7537
_cell_length_b 5.7537
_cell_length_c 5.7537
_cell_angle_alpha 90.00
_cell_angle_beta 90.00
_cell_angle_gamma 90.00
_symmetry_space_group_name_H-M 'P m -3 m'
_symmetry_Int_Tables_number 221
_symmetry_space_group_name_Hall '-P 4 2 3'
loop_
_atom_site_label
_atom_site_type_symbol
_atom_site_fract_x
_atom_site_fract_y
_atom_site_fract_z
Cs1 Cs 0.0000 0.0000 0.0000
In1 In 0.0000 0.5000 0.5000
Ge1 Ge 0.5000 0.5000 0.5000
# Energy relative to the elements in meV per atom: 192
# Volume in Å³/atom: 38.09
# Energy above the most stable polymorph in this dataset in kJ/mol of formula units: 90

***

# 14
# CdW2 (PBE, relaxed)
data_CdW2
_chemical_formula_sum 'Cd4 W8'
_cell_length_a 5.8004
_cell_length_b 4.2938
_cell_length_c 8.5226
_cell_angle_alpha 90.00
_cell_angle_beta 90.00
_cell_angle_gamma 90.00
_symmetry_space_group_name_H-M 'P n m a'
_symmetry_Int_Tables_number 62
loop_
_symmetry_equiv_pos_as_xyz
'x,y,z'
'-x,-y,-z'
'-x+1/2,-y,z+1/2'
'x+1/2,y,-z+1/2'
'x+1/2,-y+1/2,-z+1/2'
'-x+1/2,y+1/2,z+1/2'
'-x,y+1/2,-z'
'x,-y+1/2,z'
loop_
_atom_site_label
_atom_site_type_symbol
_atom_site_fract_x
_atom_site_fract_y
_atom_site_fract_z
Cd1 Cd 0.1282 0.2500 0.0739
W1 W 0.0781 0.2500 0.7136
W2 W 0.1280 0.2500 0.4066
# Energy relative to the elements in meV per atom: 610
# Volume in Å³/atom: 17.69
# Energy above the most stable polymorph in this dataset in kJ/mol of formula units: 37

***

# 15
# Mg2BeIn (PBE, relaxed)
data_Mg2BeIn
_chemical_formula_sum 'Mg4 Be2 In2'
_cell_length_a 9.3177
_cell_length_b 3.0747
_cell_length_c 5.7264
_cell_angle_alpha 90.00
_cell_angle_beta 103.39
_cell_angle_gamma 90.00
_symmetry_space_group_name_H-M 'C 1 2/m 1'
_symmetry_Int_Tables_number 12
loop_
_symmetry_equiv_pos_as_xyz
'x,y,z'
'-x,-y,-z'
'-x,y,-z'
'x,-y,z'
'x+1/2,y+1/2,z'
'-x+1/2,-y+1/2,-z'
'-x+1/2,y+1/2,-z'
'x+1/2,-y+1/2,z'
loop_
_atom_site_label
_atom_site_type_symbol
_atom_site_fract_x
_atom_site_fract_y
_atom_site_fract_z
Mg1 Mg 0.2342 0.0000 0.2201
Be1 Be 0.0000 0.5000 0.0000
In1 In 0.0000 0.0000 0.5000
# Energy relative to the elements in meV per atom: 270
# Volume in Å³/atom: 19.95
# Energy above the most stable polymorph in this dataset in kJ/mol of formula units: 38

***

# 16
# AcCo2SnN (PBE, relaxed)
data_AcCo2SnN
_chemical_formula_sum 'Ac4 Co8 Sn4 N4'
_cell_length_a 4.2014
_cell_length_b 11.9040
_cell_length_c 7.0046
_cell_angle_alpha 90.00
_cell_angle_beta 90.00
_cell_angle_gamma 90.00
_symmetry_space_group_name_H-M 'C m c m'
_symmetry_Int_Tables_number 63
_symmetry_space_group_name_Hall '-C 2c 2'
loop_
_atom_site_label
_atom_site_type_symbol
_atom_site_fract_x
_atom_site_fract_y
_atom_site_fract_z
Ac1 Ac 0.0000 0.0576 0.2500
Co1 Co 0.0000 0.3581 0.0619
Sn1 Sn 0.0000 0.2234 0.7500
N1 N 0.0000 0.5000 0.0000
# Volume in Å³/atom: 17.52
# Energy in eV/atom: -6.5854

***

# 17
# Rb2TmReO6 (PBE, relaxed)
data_Rb2TmReO6
_chemical_formula_sum 'Rb8 Tm4 Re4 O24'
_cell_length_a 8.3520
_cell_length_b 8.3520
_cell_length_c 8.3520
_cell_angle_alpha 90.00
_cell_angle_beta 90.00
_cell_angle_gamma 90.00
_symmetry_space_group_name_H-M 'F m -3 m'
_symmetry_Int_Tables_number 225
_symmetry_space_group_name_Hall '-F 4 2 3'
loop_
_atom_site_label
_atom_site_type_symbol
_atom_site_fract_x
_atom_site_fract_y
_atom_site_fract_z
Rb1 Rb 0.2500 0.2500 0.2500
Tm1 Tm 0.0000 0.0000 0.0000
Re1 Re 0.0000 0.0000 0.5000
O1 O 0.0000 0.0000 0.2710
# Volume in Å³/atom: 14.57
# Energy in eV/atom: -7.0678

***

# 18
# NdSiPt3 (PBE, relaxed)
data_NdSiPt3
_chemical_formula_sum 'Nd1 Si1 Pt3'
_cell_length_a 4.1124
_cell_length_b 4.1124
_cell_length_c 5.4967
_cell_angle_alpha 90.00
_cell_angle_beta 90.00
_cell_angle_gamma 90.00
_symmetry_space_group_name_H-M 'P 4 m m'
_symmetry_Int_Tables_number 99
loop_
_symmetry_equiv_pos_as_xyz
'x,y,z'
'-y,x,z'
'-x,-y,z'
'y,-x,z'
'-x,y,z'
'y,x,z'
'x,-y,z'
'-y,-x,z'
loop_
_atom_site_label
_atom_site_type_symbol
_atom_site_fract_x
_atom_site_fract_y
_atom_site_fract_z
Nd1 Nd 0.0000 0.0000 0.0000
Si1 Si 0.5000 0.5000 0.2631
Pt1 Pt 0.0000 0.5000 0.4915
Pt2 Pt 0.5000 0.5000 0.8440
# Volume in Å³/atom: 18.59
# Energy above the most stable polymorph in this dataset in kJ/mol of formula units: 2

***

# 19
# BaTaI2O (PBE, relaxed)
data_BaTaI2O
_chemical_formula_sum 'Ba1 Ta1 I2 O1'
_cell_length_a 6.0145
_cell_length_b 6.0145
_cell_length_c 3.9640
_cell_angle_alpha 90.00
_cell_angle_beta 90.00
_cell_angle_gamma 90.00
_symmetry_space_group_name_H-M 'P 4/m m m'
_symmetry_Int_Tables_number 123
_symmetry_space_group_name_Hall '-P 4 2'
loop_
_atom_site_label
_atom_site_type_symbol
_atom_site_fract_x
_atom_site_fract_y
_atom_site_fract_z
Ba1 Ba 0.0000 0.0000 0.0000
Ta1 Ta 0.5000 0.5000 0.5000
I1 I 0.0000 0.5000 0.5000
O1 O 0.5000 0.5000 0.0000
# Volume in Å³/atom: 28.68
# Energy above the most stable polymorph in this dataset in kJ/mol of formula units: 0

***

# 20
# Rb3TlSe2 (PBE, relaxed)
data_Rb3TlSe2
_chemical_formula_sum 'Rb12 Tl4 Se8'
_cell_length_a 13.3135
_cell_length_b 4.8835
_cell_length_c 15.4161
_cell_angle_alpha 90.00
_cell_angle_beta 90.00
_cell_angle_gamma 90.00
_symmetry_space_group_name_H-M 'P n m a'
_symmetry_Int_Tables_number 62
loop_
_symmetry_equiv_pos_as_xyz
'x,y,z'
'-x,-y,-z'
'-x+1/2,-y,z+1/2'
'x+1/2,y,-z+1/2'
'x+1/2,-y+1/2,-z+1/2'
'-x+1/2,y+1/2,z+1/2'
'-x,y+1/2,-z'
'x,-y+1/2,z'
loop_
_atom_site_label
_atom_site_type_symbol
_atom_site_fract_x
_atom_site_fract_y
_atom_site_fract_z
Rb1 Rb 0.0747 0.2500 0.0873
Rb2 Rb 0.1305 0.7500 0.5423
Rb3 Rb 0.1602 0.2500 0.8109
Tl1 Tl 0.1485 0.2500 0.3156
Se1 Se 0.0223 0.7500 0.3433
Se2 Se 0.1864 0.7500 0.9652
# Volume in Å³/atom: 41.76
# Energy above the most stable polymorph in this dataset in kJ/mol of formula units: 0